# TaPtAu4

An optimized crystal structure of TaPtAu4 (GGA-PBE, Alexandria via LeMat-Bulk).

Magnetic moment   0.000 μB per atom
Formation energy from the elements   0.3226 eV per atom
Crystal system   cubic

The structure in POSCAR format:
```
TaPtAu4
1.0
0.000 3.794 3.794
3.794 0.000 3.794
3.794 3.794 0.000
Ta Pt Au
1 1 4
direct
0.000 0.000 0.000
0.250 0.250 0.250
0.125 0.625 0.625
0.625 0.125 0.625
0.625 0.625 0.125
0.625 0.625 0.625
```



# CaNdGaGe

An optimized crystal structure of CaNdGaGe (GGA-PBE, Alexandria via LeMat-Bulk).

Magnetic moment   0.000 μB per atom
Formation energy from the elements   -0.5162 eV per atom
Energy relative to the lowest polymorph listed for this composition   0.163 eV per atom
Crystal system   cubic

The structure in POSCAR format:
```
CaNdGaGe
1.0
0.000 3.675 3.675
3.675 0.000 3.675
3.675 3.675 0.000
Ca Nd Ga Ge
1 1 1 1
direct
0.000 0.000 0.000
0.500 0.500 0.500
0.250 0.250 0.250
0.750 0.750 0.750
```



# Ho4RuRh2Au

An optimized crystal structure of Ho4RuRh2Au (GGA-PBE, Alexandria via LeMat-Bulk).

Magnetic moment   0.000 μB per atom
Formation energy from the elements   -0.7562 eV per atom
Crystal system   trigonal

The structure in POSCAR format:
```
Ho4RuRh2Au
1.0
2.440 1.409 7.946
-2.440 1.409 7.946
0.000 -2.818 7.946
Ho Ru Rh Au
4 1 2 1
direct
0.121 0.121 0.121
0.372 0.372 0.372
0.628 0.628 0.628
0.879 0.879 0.879
0.000 0.000 0.000
0.251 0.251 0.251
0.749 0.749 0.749
0.500 0.500 0.500
```



# Ac3SnH

An optimized crystal structure of Ac3SnH (GGA-PBE, Alexandria via LeMat-Bulk).

Magnetic moment   0.000 μB per atom
Energy relative to the lowest polymorph listed for this composition   0.003 eV per atom
Crystal system   cubic

The structure in POSCAR format:
```
Ac3SnH
1.0
5.330 0.000 0.000
0.000 5.330 0.000
0.000 0.000 5.330
Ac Sn H
3 1 1
direct
0.000 0.000 0.500
0.000 0.500 0.000
0.500 0.000 0.000
0.500 0.500 0.500
0.000 0.000 0.000
```



# PaTiNiN3

An optimized crystal structure of PaTiNiN3 (GGA-PBE, Alexandria via LeMat-Bulk).

Magnetic moment   0.000 μB per atom
Raw formation energy   -1098 meV/atom
Crystal system   monoclinic

The structure in POSCAR format:
```
PaTiNiN3
1.0
6.527 0.000 0.000
0.000 3.188 0.000
-1.778 0.000 6.686
Pa Ti Ni N
2 2 2 6
direct
0.197 0.250 0.223
0.803 0.750 0.777
0.335 0.750 0.843
0.665 0.250 0.157
0.121 0.250 0.597
0.879 0.750 0.403
0.111 0.250 0.876
0.239 0.750 0.508
0.433 0.750 0.150
0.567 0.250 0.850
0.761 0.250 0.492
0.889 0.750 0.124
```



# HfZr2Pa

An optimized crystal structure of HfZr2Pa (GGA-PBE, Alexandria via LeMat-Bulk).

Magnetic moment   0.000 μB per atom
Formation energy from the elements   0.1387 eV per atom
Energy relative to the lowest polymorph listed for this composition   0.096 eV per atom
Crystal system   tetragonal

The structure in POSCAR format:
```
HfZr2Pa
1.0
3.557 0.000 0.000
0.000 3.557 0.000
0.000 0.000 7.340
Hf Zr Pa
1 2 1
direct
0.000 0.000 0.000
0.500 0.500 0.261
0.500 0.500 0.739
0.000 0.000 0.500
```



# Zn2ReSe

An optimized crystal structure of Zn2ReSe (GGA-PBE, Alexandria via LeMat-Bulk).

Magnetic moment   0.000 μB per atom
Raw formation energy   290 meV/atom
Energy relative to the lowest polymorph listed for this composition   0.097 eV per atom
Crystal system   monoclinic

The structure in POSCAR format:
```
Zn2ReSe
1.0
4.495 -1.501 0.000
4.495 1.501 0.000
-0.708 0.000 4.752
Zn Re Se
2 1 1
direct
0.000 0.000 0.000
0.243 0.243 0.778
0.743 0.743 0.260
0.459 0.459 0.455
```



# LiPm2Co3H12

An optimized crystal structure of LiPm2Co3H12 (GGA-PBE, Alexandria via LeMat-Bulk).

Magnetic moment   0.097 μB per atom
E_tot   -4.315 eV per atom
Crystal system   trigonal

The structure in POSCAR format:
```
LiPm2Co3H12
1.0
2.950 1.703 4.624
-2.950 1.703 4.624
0.000 -3.406 4.624
Li Pm Co H
1 2 3 12
direct
0.000 0.000 0.000
0.381 0.381 0.381
0.619 0.619 0.619
0.000 0.000 0.500
0.000 0.500 0.000
0.500 0.000 0.000
0.110 0.110 0.617
0.110 0.617 0.110
0.130 0.689 0.689
0.311 0.311 0.870
0.311 0.870 0.311
0.383 0.890 0.890
0.617 0.110 0.110
0.689 0.130 0.689
0.689 0.689 0.130
0.870 0.311 0.311
0.890 0.383 0.890
0.890 0.890 0.383
```